No. 1
{"formula": "K2ScP", "functional": "PBEsol", "state": "relaxed", "e_form_mev_per_atom": -85.6, "total_energy_ev_per_atom": -3.751, "lattice_angstrom": [[4.710, 0.000, 0.000], [0.000, 4.947, -0.027], [0.000, -2.429, 7.837]], "species": ["P", "K", "K", "Sc"], "frac_coords": [[0.500, 0.000, 0.500], [0.000, 0.136, 0.771], [0.000, 0.864, 0.229], [0.500, 0.500, 0.500]]}

=====

No. 2
{"formula": "CaY4Tc", "functional": "PBEsol", "state": "relaxed", "e_form_mev_per_atom": 818.8, "total_energy_ev_per_atom": -5.963, "lattice_angstrom": [[6.203, 0.000, 0.000], [3.102, 5.372, 0.000], [3.102, 1.791, 5.065]], "species": ["Tc", "Y", "Y", "Y", "Y", "Ca"], "frac_coords": [[0.000, 0.000, 0.000], [0.373, 0.373, 0.373], [0.373, 0.882, 0.373], [0.882, 0.373, 0.373], [0.373, 0.373, 0.882], [0.750, 0.750, 0.750]]}

=====

No. 3
{"formula": "K2PbAu", "functional": "PBEsol", "state": "relaxed", "e_form_mev_per_atom": -121.6, "total_energy_ev_per_atom": -2.669, "lattice_angstrom": [[-0.716, -2.794, -3.447], [5.162, -2.566, 1.007], [-4.520, -0.684, 4.424]], "species": ["Pb", "K", "K", "Au"], "frac_coords": [[0.444, 0.444, 0.887], [0.031, 0.031, 0.063], [0.228, 0.728, 0.456], [0.797, 0.297, 0.594]]}

=====

No. 4
{"formula": "TlIn2Re", "functional": "PBEsol", "state": "relaxed", "e_form_mev_per_atom": 935.3, "e_above_lowest_polymorph_ev_per_atom": 0.249, "total_energy_ev_per_atom": -4.547, "lattice_angstrom": [[4.868, 0.000, 0.000], [2.434, 4.216, 0.000], [2.434, 1.405, 3.975]], "species": ["Re", "In", "In", "Tl"], "frac_coords": [[0.500, 0.500, 0.500], [0.750, 0.750, 0.750], [0.000, 0.000, 0.000], [0.250, 0.250, 0.250]]}

=====

No. 5
{"formula": "Be2CuBr", "functional": "PBEsol", "state": "relaxed", "e_above_lowest_polymorph_ev_per_atom": 0.000, "formation_energy_uncorrected_mev_per_atom": 147, "total_energy_ev_per_atom": -3.404, "lattice_angstrom": [[-1.259, 2.573, 2.449], [-0.018, -0.762, 3.690], [4.483, 2.592, 2.481]], "species": ["Br", "Be", "Be", "Cu"], "frac_coords": [[0.500, 0.500, 0.500], [0.364, 0.364, 0.909], [0.636, 0.636, 0.091], [0.000, 0.000, 0.000]]}

=====

No. 6
{"formula": "KLiPb2", "functional": "PBEsol", "state": "relaxed", "e_form_mev_per_atom": -154.1, "e_above_lowest_polymorph_ev_per_atom": 0.068, "total_energy_ev_per_atom": -2.928, "lattice_angstrom": [[3.467, 0.000, -0.031], [0.000, 4.732, 0.000], [-1.743, 0.000, 7.359]], "species": ["Li", "Pb", "Pb", "K"], "frac_coords": [[0.000, 0.500, 0.500], [0.812, 0.000, 0.682], [0.188, 0.000, 0.318], [0.500, 0.500, 0.000]]}

=====

No. 7
{"formula": "Ca2ScBRu", "functional": "PBEsol", "state": "relaxed", "e_form_mev_per_atom": 1574.4, "total_energy_ev_per_atom": -4.038, "lattice_angstrom": [[4.278, 0.000, 0.000], [0.000, 5.807, 0.000], [0.000, 0.000, 5.807]], "species": ["Sc", "Ca", "Ca", "B", "Ru"], "frac_coords": [[0.000, 0.000, 0.000], [0.000, 0.500, 0.000], [0.000, 0.000, 0.500], [0.500, 0.500, 0.500], [0.500, 0.000, 0.000]]}

=====

No. 8
{"formula": "BeIn2Cl", "functional": "PBEsol", "state": "relaxed", "e_above_lowest_polymorph_ev_per_atom": 0.000, "formation_energy_uncorrected_mev_per_atom": -68, "total_energy_ev_per_atom": -3.061, "lattice_angstrom": [[3.083, 0.000, 0.000], [0.000, 5.685, 0.000], [-1.541, -2.843, 4.840]], "species": ["In", "In", "Be", "Cl"], "frac_coords": [[0.997, 0.997, 0.994], [0.805, 0.305, 0.610], [0.528, 0.528, 0.055], [0.170, 0.670, 0.341]]}